(1)
TlFeMo (PBE, relaxed); E_form = 2.130 eV/f.u.; distance to the lowest polymorph of the same formula = 207 meV/atom; VASP energy = -6.51 eV per atom; D(E_F) = 1.032 states/eV per atom; crystal system = trigonal
1.0
4.463 0.000 0.000
-2.231 3.865 0.000
0.000 0.000 2.942
Tl Fe Mo
1 1 1
Cartesian
0.000 0.000 0.000
0.000 2.577 0.896
2.231 1.288 1.563

(2)
MgNiN (PBE, relaxed); distance to the lowest polymorph of the same formula = 0 meV/atom; raw formation energy = -0.37 eV per atom; VASP energy = -5.60 eV per atom; D(E_F) = 0.603 states/eV per atom; crystal system = tetragonal
1.0
3.130 0.000 0.000
0.000 3.130 0.000
0.000 0.000 3.589
Mg Ni N
1 1 1
Cartesian
0.000 0.000 0.000
1.565 1.565 1.794
1.565 1.565 0.000

(3)
KCoB2 (PBE, relaxed); E_form = 7.815 eV/f.u.; distance to the lowest polymorph of the same formula = 1473 meV/atom; VASP energy = -3.44 eV per atom; D(E_F) = 0.970 states/eV per atom; crystal system = cubic
1.0
0.000 2.978 2.978
2.978 0.000 2.978
2.978 2.978 0.000
K Co B
1 1 2
Cartesian
0.000 0.000 0.000
2.978 2.978 2.978
1.489 1.489 1.489
4.467 4.467 4.467

(4)
NaS2NO (PBE, relaxed); distance to the lowest polymorph of the same formula = 0 meV/atom; raw formation energy = 1.10 eV per atom; VASP energy = -3.47 eV per atom; D(E_F) = 0.587 states/eV per atom; crystal system = tetragonal
1.0
4.334 0.000 0.000
0.000 4.334 0.000
0.000 0.000 4.053
Na S N O
1 2 1 1
Cartesian
0.000 0.000 0.000
0.000 2.167 2.026
2.167 0.000 2.026
2.167 2.167 0.000
2.167 2.167 2.026

(5)
Sm2GeBr3 (PBE, relaxed); raw formation energy = -1.40 eV per atom; VASP energy = -4.57 eV per atom; D(E_F) = 0.014 states/eV per atom; crystal system = monoclinic
1.0
9.539 -2.085 0.000
9.539 2.085 0.000
-8.077 0.000 10.112
Sm Ge Br
4 2 6
Cartesian
-1.402 0.000 4.465
5.641 0.000 1.827
5.361 0.000 8.285
12.404 0.000 5.647
-3.850 0.000 6.278
14.852 0.000 3.834
3.124 0.000 0.242
1.785 0.000 3.882
2.451 0.000 7.765
8.551 0.000 2.347
9.217 0.000 6.230
7.878 0.000 9.870

(6)
LiPm3Pd2 (PBE, relaxed); E_form = -2.697 eV/f.u.; VASP energy = -4.87 eV per atom; D(E_F) = 0.873 states/eV per atom; crystal system = orthorhombic
1.0
-3.344 6.575 3.769
3.344 -6.575 3.769
3.344 6.575 -3.769
Li Pm Pd
2 6 4
Cartesian
0.000 0.000 0.000
0.000 0.000 3.769
3.344 3.799 -1.885
3.344 0.000 1.885
0.000 2.776 1.885
3.344 3.799 1.885
0.000 6.575 1.885
0.000 2.776 5.654
4.641 1.854 0.000
1.298 4.721 0.000
2.046 1.854 3.769
-1.298 4.721 3.769

(7)
Rb3Pa2O4F3 (PBE, relaxed); raw formation energy = -2.87 eV per atom; VASP energy = -6.81 eV per atom; D(E_F) = 0.559 states/eV per atom; crystal system = orthorhombic
1.0
-2.198 2.371 12.172
2.198 -2.371 12.172
2.198 2.371 -12.172
Rb Pa O F
3 2 4 3
Cartesian
0.000 0.000 0.000
0.000 0.000 4.846
0.000 0.000 19.499
0.000 0.000 9.683
0.000 0.000 14.662
0.000 0.000 7.650
2.198 0.000 9.928
0.000 2.371 2.244
0.000 0.000 16.695
2.198 0.000 2.168
0.000 0.000 12.172
0.000 2.371 10.004

(8)
Li2HgF (PBE, relaxed); distance to the lowest polymorph of the same formula = 23 meV/atom; raw formation energy = -1.48 eV per atom; VASP energy = -2.98 eV per atom; D(E_F) = 0.587 states/eV per atom; crystal system = tetragonal
1.0
-2.953 2.953 3.908
2.953 -2.953 3.908
2.953 2.953 -3.908
Li Hg F
4 2 2
Cartesian
0.599 1.476 0.977
-1.476 2.353 2.931
-0.599 4.429 0.977
1.476 3.552 2.931
2.953 0.000 1.954
0.000 0.000 3.908
0.000 0.000 0.000
0.000 2.953 1.954

(9)
SnS2BrN (PBE, relaxed); distance to the lowest polymorph of the same formula = 131 meV/atom; raw formation energy = 1.21 eV per atom; VASP energy = -3.24 eV per atom; D(E_F) = 0.545 states/eV per atom; crystal system = tetragonal
1.0
5.106 0.000 0.000
0.000 5.106 0.000
0.000 0.000 3.869
Sn S Br N
1 2 1 1
Cartesian
0.000 0.000 0.000
0.000 2.553 1.935
2.553 0.000 1.935
2.553 2.553 1.935
2.553 2.553 0.000

(10)
ZrS3F (PBE, relaxed); distance to the lowest polymorph of the same formula = 441 meV/atom; raw formation energy = 0.10 eV per atom; VASP energy = -4.46 eV per atom; D(E_F) = 0.852 states/eV per atom; crystal system = cubic
1.0
4.346 0.000 0.000
0.000 4.346 0.000
0.000 0.000 4.346
Zr S F
1 3 1
Cartesian
0.000 0.000 0.000
0.000 2.173 2.173
2.173 0.000 2.173
2.173 2.173 0.000
2.173 2.173 2.173

(11)
LaV2IrC (PBE, relaxed); E_form = 12.273 eV/f.u.; VASP energy = -5.80 eV per atom; D(E_F) = 1.705 states/eV per atom; crystal system = tetragonal
1.0
4.608 0.000 0.000
0.000 4.608 0.000
0.000 0.000 4.199
La V Ir C
1 2 1 1
Cartesian
0.000 0.000 0.000
0.000 2.304 0.000
2.304 0.000 0.000
2.304 2.304 2.100
0.000 0.000 2.100

(12)
Pm2Pr2Tm (PBE, relaxed); E_form = 0.128 eV/f.u.; distance to the lowest polymorph of the same formula = 0 meV/atom; VASP energy = -4.68 eV per atom; D(E_F) = 1.716 states/eV per atom; crystal system = monoclinic
1.0
6.380 0.000 0.000
0.000 5.854 0.000
-3.172 0.000 9.243
Pm Pr Tm
4 4 2
Cartesian
-1.050 1.463 3.677
-1.044 1.463 7.387
4.252 4.390 1.857
4.258 4.390 5.567
1.076 4.390 0.008
1.074 4.390 3.685
2.134 1.463 5.558
2.133 1.463 9.235
2.154 1.463 1.842
1.055 4.390 7.401

Look up the D(E_F) of the third one. 0.970 states/eV per atom

Among the records above, which one has the lowest VASP energy? Rb3Pa2O4F3

Which formula does entry 7 have? Rb3Pa2O4F3

D(E_F) of number 12 (Pm2Pr2Tm)? 1.716 states/eV per atom